Record 1
Density functional theory data (PBE-GGA) for crystalline Zr2Cr2Rh at its relaxed geometry.

Properties
The value obtained for the total energy is -0.645 Ry/atom. The space-group type is No. 127.

Cell lengths 6.3401, 6.3401, 4.2424 Å; angles 90.00, 90.00, 90.00 degrees
With the nearest neighbours (Å) after each atom.
Atoms (fractional coordinates):
Zr  0.1820  0.3180  0.0000  6 Cr 2.82-2.86, 4 Rh 3.15
Zr  0.3180  0.8180  0.0000  6 Cr 2.82-2.86, 4 Rh 3.15
Zr  0.6820  0.1820  0.0000  6 Cr 2.82-2.86, 4 Rh 3.15
Zr  0.8180  0.6820  0.0000  6 Cr 2.82-2.86, 4 Rh 3.15
Cr  0.1112  0.6112  0.5000  1 Cr 1.99
Cr  0.3888  0.1112  0.5000  1 Cr 1.99
Cr  0.6112  0.8888  0.5000  1 Cr 1.99
Cr  0.8888  0.3888  0.5000  1 Cr 1.99
Rh  0.0000  0.0000  0.5000  4 Cr 2.56
Rh  0.5000  0.5000  0.5000  4 Cr 2.56

---

Record 2
Density functional theory data (PBE-GGA) for crystalline ZrCrRh2 at its relaxed geometry.

Properties
The value obtained for the total energy is -0.628 Ry/atom. The space-group type is No. 119.

Cell lengths 5.0401, 5.0401, 5.0401 Å; angles 134.65, 134.65, 66.07 degrees
With the nearest neighbours (Å) after each atom.
Atoms (fractional coordinates):
Zr  0.0000  0.0000  0.0000  8 Rh 2.75-2.87, 4 Cr 2.87
Cr  0.7500  0.2500  0.5000  8 Rh 2.75-2.87, 4 Zr 2.87
Rh  0.2500  0.7500  0.5000  4 Cr 2.75, 4 Rh 2.87, 4 Zr 2.87
Rh  0.5000  0.5000  0.0000  4 Zr 2.75, 4 Cr 2.87, 4 Rh 2.87

---

Record 3
Density functional theory data (PBE-GGA) for crystalline ZrCr2Rh at its relaxed geometry.

Properties
The value obtained for the total energy is -0.652 Ry/atom. The space-group type is No. 99.

Cell lengths 3.1121, 3.1121, 6.3142 Å; angles 90.00, 90.00, 90.00 degrees
With the nearest neighbours (Å) after each atom.
Atoms (fractional coordinates):
Zr  0.0000  0.0000  0.0000  4 Rh 2.76, 5 Cr 2.82-3.00
Cr  0.0000  0.0000  0.4757  4 Cr 2.52, 4 Rh 2.74
Cr  0.5000  0.5000  0.2796  4 Cr 2.52, 4 Zr 2.82
Rh  0.5000  0.5000  0.7355  5 Cr 2.74-2.88, 4 Zr 2.76

---

Record 4
Density functional theory data (PBE-GGA) for crystalline ZrCrRh at its relaxed geometry.

Properties
The value obtained for the total energy is -0.631 Ry/atom. The space-group type is No. 156.

Cell lengths 4.3341, 4.3341, 3.1580 Å; angles 90.00, 90.00, 120.00 degrees
With the nearest neighbours (Å) after each atom.
Atoms (fractional coordinates):
Zr  0.0000  0.0000  0.0000  6 Rh 2.96, 6 Cr 2.96, 2 Zr 3.16
Cr  0.3333  0.6667  0.4991  3 Rh 2.50
Rh  0.6667  0.3333  0.5022  3 Cr 2.50

---

Record 5
Density functional theory data (PBE-GGA) for crystalline ZrCrRh2 at its relaxed geometry.

Properties
The value obtained for the total energy is -0.605 Ry/atom. The space-group type is No. 166.

Cell lengths 9.0833, 9.0833, 9.0833 Å; angles 17.84, 17.84, 17.84 degrees
With the nearest neighbours (Å) after each atom.
Atoms (fractional coordinates):
Zr  0.0000  0.0000  0.0000  6 Zr 2.82, 6 Rh 2.97
Cr  0.5000  0.5000  0.5000  6 Rh 2.56, 6 Cr 2.82
Rh  0.2406  0.2406  0.2406  3 Cr 2.56, 6 Rh 2.82
Rh  0.7594  0.7594  0.7594  3 Cr 2.56, 6 Rh 2.82

---

Record 6
Density functional theory data (PBE-GGA) for crystalline ZrCr2Rh at its relaxed geometry.

Properties
The value obtained for the total energy is -0.640 Ry/atom. The space-group type is No. 12.

Cell lengths 5.0684, 5.0684, 4.5876 Å; angles 108.31, 108.31, 34.14 degrees
With the nearest neighbours (Å) after each atom.
Atoms (fractional coordinates):
Zr  0.0000  0.0000  0.0000  4 Rh 2.73, 4 Cr 2.89, 2 Zr 2.98
Cr  0.2400  0.2400  0.6732  2 Cr 2.23
Cr  0.7600  0.7600  0.3268  2 Cr 2.23
Rh  0.5000  0.5000  0.5000  6 Cr 2.65-2.88, 4 Zr 2.73

---

Record 7
Density functional theory data (PBE-GGA) for crystalline Zr2CrRh at its relaxed geometry.

Properties
The value obtained for the total energy is -0.652 Ry/atom. The space-group type is No. 123.

Cell lengths 3.2655, 3.2655, 6.5687 Å; angles 90.00, 90.00, 90.00 degrees
With the nearest neighbours (Å) after each atom.
Atoms (fractional coordinates):
Zr  0.0000  0.0000  0.2445  4 Cr 2.81, 4 Rh 2.85
Zr  0.0000  0.0000  0.7555  4 Cr 2.81, 4 Rh 2.85
Cr  0.5000  0.5000  0.0000  8 Zr 2.81
Rh  0.5000  0.5000  0.5000  8 Zr 2.85

---

Record 8
Density functional theory data (PBE-GGA) for crystalline ZrCrRh2 at its relaxed geometry.

Properties
The value obtained for the total energy is -0.588 Ry/atom. The space-group type is No. 122.

Cell lengths 8.9513, 8.9513, 8.9513 Å; angles 154.10, 154.10, 36.96 degrees
With the nearest neighbours (Å) after each atom.
Atoms (fractional coordinates):
Zr  0.0000  0.0000  0.0000  4 Rh 2.61, 4 Cr 2.84
Zr  0.7500  0.2500  0.5000  4 Rh 2.61, 4 Cr 2.84
Cr  0.2500  0.7500  0.5000  4 Rh 2.50
Cr  0.5000  0.5000  0.0000  4 Rh 2.50
Rh  0.1578  0.6250  0.0328  2 Cr 2.50, 2 Zr 2.61, 2 Rh 2.66
Rh  0.3750  0.4078  0.5328  2 Cr 2.50, 2 Zr 2.61, 2 Rh 2.66
Rh  0.5922  0.1250  0.9672  2 Cr 2.50, 2 Zr 2.61, 2 Rh 2.66
Rh  0.8750  0.8422  0.4672  2 Cr 2.50, 2 Zr 2.61, 2 Rh 2.66

---

Record 9
Density functional theory data (PBE-GGA) for crystalline Zr2CrRh at its relaxed geometry.

Properties
The value obtained for the total energy is -0.615 Ry/atom. The space-group type is No. 160.

Cell lengths 9.1857, 9.1857, 9.1857 Å; angles 19.69, 19.69, 19.69 degrees
With the nearest neighbours (Å) after each atom.
Atoms (fractional coordinates):
Zr  0.0000  0.0000  0.0000  3 Cr 2.97, 9 Zr 3.14-3.16
Zr  0.2375  0.2375  0.2375  3 Rh 2.73
Cr  0.7538  0.7538  0.7538  3 Rh 2.72, 3 Zr 2.97
Rh  0.4955  0.4955  0.4955  3 Cr 2.72, 3 Zr 2.73

---

Record 10
Density functional theory data (PBE-GGA) for crystalline Zr2CrRh2 at its relaxed geometry.

Properties
The value obtained for the total energy is -0.636 Ry/atom. The space-group type is No. 127.

Cell lengths 7.1194, 7.1194, 3.6051 Å; angles 90.00, 90.00, 90.00 degrees
With the nearest neighbours (Å) after each atom.
Atoms (fractional coordinates):
Zr  0.1727  0.3273  0.0000  6 Rh 2.64-2.85
Zr  0.3273  0.8273  0.0000  6 Rh 2.64-2.85
Zr  0.6727  0.1727  0.0000  6 Rh 2.64-2.85
Zr  0.8273  0.6727  0.0000  6 Rh 2.64-2.85
Cr  0.0000  0.0000  0.5000  4 Rh 2.77
Cr  0.5000  0.5000  0.5000  4 Rh 2.77
Rh  0.1351  0.6351  0.5000  6 Zr 2.64-2.85, 1 Rh 2.72, 2 Cr 2.77
Rh  0.3649  0.1351  0.5000  6 Zr 2.64-2.85, 1 Rh 2.72, 2 Cr 2.77
Rh  0.6351  0.8649  0.5000  6 Zr 2.64-2.85, 1 Rh 2.72, 2 Cr 2.77
Rh  0.8649  0.3649  0.5000  6 Zr 2.64-2.85, 1 Rh 2.72, 2 Cr 2.77

---

Record 11
Density functional theory data (PBE-GGA) for crystalline ZrCr2Rh at its relaxed geometry.

Properties
The value obtained for the total energy is -0.629 Ry/atom. The space-group type is No. 47.

Cell lengths 2.7155, 3.7800, 5.9341 Å; angles 90.00, 90.00, 90.00 degrees
With the nearest neighbours (Å) after each atom.
Atoms (fractional coordinates):
Zr  0.0000  0.0000  0.0000  2 Zr 2.72, 8 Cr 2.94, 2 Rh 2.97
Cr  0.5000  0.5000  0.3019  1 Cr 2.35, 4 Rh 2.61
Cr  0.5000  0.5000  0.6981  1 Cr 2.35, 4 Rh 2.61
Rh  0.0000  0.0000  0.5000  8 Cr 2.61, 2 Rh 2.72

---

Record 12
Density functional theory data (PBE-GGA) for crystalline ZrCr2Rh at its relaxed geometry.

Properties
The value obtained for the total energy is -0.624 Ry/atom. The space-group type is No. 65.

Cell lengths 5.0086, 5.0086, 2.7309 Å; angles 90.00, 90.00, 118.55 degrees
With the nearest neighbours (Å) after each atom.
Atoms (fractional coordinates):
Zr  0.0000  0.0000  0.0000  2 Rh 2.56, 2 Zr 2.73, 8 Cr 2.85
Cr  0.0000  0.5000  0.5000  4 Cr 2.56-2.73, 4 Zr 2.85, 4 Rh 2.85
Cr  0.5000  0.0000  0.5000  4 Cr 2.56-2.73, 4 Zr 2.85, 4 Rh 2.85
Rh  0.5000  0.5000  0.0000  2 Zr 2.56, 2 Rh 2.73, 8 Cr 2.85

---

Record 13
Density functional theory data (PBE-GGA) for crystalline Zr2CrRh at its relaxed geometry.

Properties
The value obtained for the total energy is -0.640 Ry/atom. The space-group type is No. 44.

Cell lengths 5.5837, 5.5837, 5.5837 Å; angles 145.00, 133.70, 59.33 degrees
With the nearest neighbours (Å) after each atom.
Atoms (fractional coordinates):
Zr  0.0000  0.0000  0.0000  4 Rh 2.76, 2 Cr 2.97, 2 Zr 3.05
Zr  0.7376  0.2376  0.5000  4 Cr 2.77, 2 Rh 2.88, 2 Zr 3.05
Cr  0.2519  0.7519  0.5000  6 Zr 2.77-2.97, 2 Rh 2.90
Rh  0.4959  0.4959  0.0000  6 Zr 2.76-2.88, 2 Cr 2.90